A relaxed structure of Pm2Pr5Tm2. Source: Alexandria, functional PBE-GGA.

* theoretical density: 7.14 g cm⁻³

Cell: 11.564 5.161 10.945 Å, 90.00 108.45 90.00°
Space group C2/m (No. 12)
Symmetry-distinct sites (fractional):
Pm (0.001, 0.000, 0.169) x4
Pr (0.000, 0.000, 0.500) x2
Pr (0.166, 0.500, 0.389) x4
Pr (0.167, 0.500, 0.055) x4
Tm (0.167, 0.500, 0.723) x4

A relaxed structure of PmPr6Tm4. Source: Alexandria, functional PBE-GGA.

* theoretical density: 7.18 g cm⁻³
* excess energy over the best structure of this formula in the dataset: 0.140 eV/atom

Cell: 6.594 6.594 17.725 Å, 90.00 90.00 90.00°
Space group I-42m (No. 121)
Symmetry-distinct sites (fractional):
Pm (0.000, 0.000, 0.000) x2
Pr (0.000, 0.500, 0.000) x4
Pr (0.178, 0.178, 0.360) x8
Tm (0.183, 0.183, 0.172) x8

A relaxed structure of PmPrTm5. Source: Alexandria, functional PBE-GGA.

* theoretical density: 8.32 g cm⁻³
* excess energy over the best structure of this formula in the dataset: 0.000 eV/atom

Cell: 11.540 6.872 11.994 Å, 90.00 108.48 90.00°
Space group C2/c (No. 15)
Symmetry-distinct sites (fractional):
Pm (0.250, 0.250, 0.000) x4
Pr (0.000, 0.025, 0.250) x4
Tm (0.000, 0.409, 0.750) x4
Tm (0.079, 0.285, 0.498) x8
Tm (0.222, 0.358, 0.255) x8

A relaxed structure of PmPr10Tm6. Source: Alexandria, functional PBE-GGA.

* theoretical density: 7.26 g cm⁻³

Cell: 9.8862 9.8862 6.9374 Å, 90.00 90.00 120.00°
Space group P-31m (No. 162)
Symmetry-distinct sites (fractional):
Pm (0.0000, 0.0000, 0.0000) x1
Pr (0.0000, 0.2788, 0.3213) x6
Pr (0.3333, 0.6667, 0.0000) x2
Pr (0.3333, 0.6667, 0.5000) x2
Tm (0.0000, 0.3657, 0.8184) x6

A relaxed structure of Pm5Pr2Tm12. Source: Alexandria, functional PBE-GGA.

* theoretical density: 8.14 g cm⁻³

Cell: 15.588 9.256 8.588 Å, 90.00 92.02 90.00°
Space group C2/m (No. 12)
Symmetry-distinct sites (fractional):
Pm (0.000, 0.000, 0.000) x2
Pm (0.204, 0.500, 0.513) x4
Pm (0.231, 0.000, 0.073) x4
Pr (0.000, 0.320, 0.500) x4
Tm (0.057, 0.500, 0.833) x4
Tm (0.082, 0.000, 0.378) x4
Tm (0.128, 0.311, 0.158) x8
Tm (0.151, 0.178, 0.744) x8

A relaxed structure of Pm6Pr3Tm2. Source: Alexandria, functional PBE-GGA.

* theoretical density: 7.22 g cm⁻³
* excess energy over the best structure of this formula in the dataset: 0.000 eV/atom

Cell: 3.6371 3.6371 98.1518 Å, 90.00 90.00 120.00°
Space group R-3m (No. 166, hexagonal axes)
Symmetry-distinct sites (fractional):
Pm (0.0000, 0.0000, 0.0928) x6
Pm (0.0000, 0.0000, 0.1820) x6
Pm (0.0000, 0.0000, 0.3642) x6
Pr (0.0000, 0.0000, 0.0000) x3
Pr (0.0000, 0.0000, 0.2716) x6
Tm (0.0000, 0.0000, 0.4554) x6

A relaxed structure of Pm12Pr5Tm2. Source: Alexandria, functional PBE-GGA.

* theoretical density: 6.94 g cm⁻³
* excess energy over the best structure of this formula in the dataset: 0.071 eV/atom

Cell: 18.908 7.277 10.452 Å, 90.00 112.25 90.00°
Space group C2/m (No. 12)
Symmetry-distinct sites (fractional):
Pm (0.003, 0.000, 0.318) x4
Pm (0.020, 0.500, 0.236) x4
Pm (0.159, 0.251, 0.865) x8
Pm (0.166, 0.250, 0.517) x8
Pr (0.000, 0.500, 0.500) x2
Pr (0.175, 0.000, 0.207) x4
Pr (0.183, 0.500, 0.183) x4
Tm (0.000, 0.216, 0.000) x4

A relaxed structure of PmPr2Tm5. Source: Alexandria, functional PBE-GGA.

* theoretical density: 8.26 g cm⁻³
* excess energy over the best structure of this formula in the dataset: 0.000 eV/atom

Cell: 7.166 7.166 9.953 Å, 90.00 90.00 90.00°
Space group I4/mmm (No. 139)
Symmetry-distinct sites (fractional):
Pm (0.000, 0.000, 0.000) x2
Pr (0.000, 0.500, 0.000) x4
Tm (0.000, 0.000, 0.500) x2
Tm (0.250, 0.250, 0.250) x8

| no. | total magnetic moment (Bohr magnetons per cell) | formation energy (eV per atom) | total DFT energy (no corrections) (eV per atom) |
| --- | --- | --- | --- |
| 1 | 0.00 | 0.018 | -4.687 |
| 2 | 0.00 | 0.287 | -4.378 |
| 3 | 0.00 | 0.201 | -4.355 |
| 4 | 0.00 | 0.131 | -4.538 |
| 5 | 0.00 | 0.129 | -4.449 |
| 6 | 0.00 | 0.018 | -4.690 |
| 7 | 0.00 | 0.169 | -4.560 |
| 8 | 0.00 | 0.024 | -4.559 |